## Tb2TmRu (PBE-GGA)

Data for an optimized crystal structure of Tb2TmRu.

The structure in extended XYZ format:
```
4
Lattice="3.438 0.000 0.000 0.000 3.438 0.000 0.000 0.000 8.855" Properties=species:S:1:pos:R:3 pbc="T T T"
Tb 0.000 0.000 1.664
Tb 0.000 0.000 7.192
Tm 1.719 1.719 4.428
Ru 1.719 1.719 0.000
```

Volume: 26.17 A^3/atom
ΔE_f: -0.1632 eV/atom
ΔE to the lowest computed polymorph: 163 meV per atom

## NaIn2Hg3 (PBE-GGA)

Data for an optimized crystal structure of NaIn2Hg3.

The structure in extended XYZ format:
```
12
Lattice="2.642 -8.285 0.000 2.642 8.285 0.000 0.000 0.000 7.061" Properties=species:S:1:pos:R:3 pbc="T T T"
Na 2.642 5.577 0.000
Na 2.642 -5.577 0.000
In 2.642 5.589 3.530
In 2.642 0.000 0.000
In 2.642 0.000 3.530
In 2.642 -5.589 3.530
Hg 0.000 0.000 1.739
Hg 0.000 0.000 5.322
Hg 2.642 2.857 1.744
Hg 2.642 2.857 5.317
Hg 2.642 -2.857 1.744
Hg 2.642 -2.857 5.317
```

Volume: 25.76 A^3/atom
ΔE_f: -0.1072 eV/atom